[1]
Material: NaAcCuAg
Method: DFT, GGA-PBE
State: optimized geometry

The structure in CIF format:
```
data_NaAcCuAg
_chemical_formula_sum 'Na4 Ac4 Cu4 Ag4'
_cell_length_a 7.489
_cell_length_b 7.489
_cell_length_c 7.489
_cell_angle_alpha 90.00
_cell_angle_beta 90.00
_cell_angle_gamma 90.00
_space_group_name_H-M_alt 'F -4 3 m'
_space_group_IT_number 216
_space_group_name_Hall 'F -4 2 3'
loop_
_atom_site_label
_atom_site_type_symbol
_atom_site_fract_x
_atom_site_fract_y
_atom_site_fract_z
_atom_site_occupancy
Na1 Na 0.000 0.000 0.000 1
Ac1 Ac 0.000 0.000 0.500 1
Cu1 Cu 0.250 0.250 0.250 1
Ag1 Ag 0.250 0.250 0.750 1
```

***

[2]
Material: TbPmDy
Method: DFT, GGA-PBE
State: optimized geometry

Computed properties:
The value obtained for the relative energy among the computed polymorphs is 0 meV per atom.

The structure in CIF format:
```
data_TbPmDy
_chemical_formula_sum 'Tb2 Pm2 Dy2'
_cell_length_a 6.252
_cell_length_b 3.617
_cell_length_c 8.929
_cell_angle_alpha 90.00
_cell_angle_beta 103.69
_cell_angle_gamma 90.00
_space_group_name_H-M_alt 'C 1 m 1'
_space_group_IT_number 8
loop_
_space_group_symop_operation_xyz
'x,y,z'
'x,-y,z'
'x+1/2,y+1/2,z'
'x+1/2,-y+1/2,z'
loop_
_atom_site_label
_atom_site_type_symbol
_atom_site_fract_x
_atom_site_fract_y
_atom_site_fract_z
_atom_site_occupancy
Tb1 Tb 0.000 0.000 0.000 1
Pm1 Pm 0.058 0.500 0.663 1
Dy1 Dy 0.278 0.500 0.327 1
```

***

Number 1: energy of formation from the pure elements 0.00 eV/atom. Number 2: energy of formation from the pure elements 0.01 eV/atom.